The following is a DFT calculation (GGA-PBE) of a relaxed TmGa4Ir2Rh crystal.

a = 8.742 Å, b = 8.742 Å, c = 8.742 Å
α = 28.13°, β = 28.13°, γ = 28.13°
Sites, in units of the cell vectors:
Tm: 0.000 0.000 0.000
Ga: 0.131 0.131 0.131
Ga: 0.396 0.396 0.396
Ga: 0.604 0.604 0.604
Ga: 0.869 0.869 0.869
Ir: 0.239 0.239 0.239
Ir: 0.761 0.761 0.761
Rh: 0.500 0.500 0.500

- energy relative to the elements (eV/f.u.) = -4.81